[1]
This record from the Alexandria database describes a crystal of SbOsAu2 relaxed with PBEsol. The functional is meta-GGA SCAN.

Symmetry: Pmm2

Unit cell a=3.285 b=3.605 c=5.902 alpha=90.00 beta=90.00 gamma=90.00
Fractional positions:
Au  0.000  0.000  0.023
Au  0.500  0.500  0.243
Os  0.000  0.000  0.514
Sb  0.500  0.500  0.720

=====

[2]
This record from the Alexandria database describes a crystal of SbOsAu relaxed with PBEsol. The functional is meta-GGA SCAN.

Relative energy among the computed polymorphs, kcal/mol of atoms: 4.07
Symmetry: Fmm2

Unit cell a=2.903 b=2.903 c=7.748 alpha=95.71 beta=95.71 gamma=117.98
Fractional positions:
Au  0.984  0.984  0.969
Os  0.330  0.330  0.660
Sb  0.686  0.686  0.371

=====

[3]
This record from the Alexandria database describes a crystal of SbOsAu2 relaxed with PBEsol. The functional is meta-GGA SCAN.

Symmetry: Immm

Unit cell a=3.016 b=4.356 c=6.197 alpha=110.58 beta=104.08 gamma=90.00
Each line ends with the local moment (μB).
Fractional positions:
Au  0.710  0.710  0.420  0.03
Au  0.290  0.290  0.580  0.03
Os  0.000  0.500  0.000  0.30
Sb  0.500  0.000  0.000  -0.01

=====

DFT total energy values, unit eV/cell, following the record order: -245.63; -175.80; -245.39.
Energy relative to the elements, uncorrected values, unit eV per atom, following the record order: 0.46; 0.83; 0.52.